Density functional theory data (PBE-GGA) for an optimized crystal structure of NiRu2Pt.

```
NiRu2Pt
1.0
1.346 0.777 8.787
-1.346 0.777 8.787
0.000 -1.555 8.787
Ni Ru Pt
1 2 1
Direct
0.000 0.000 0.000 Ni
0.255 0.255 0.255 Ru
0.745 0.745 0.745 Ru
0.500 0.500 0.500 Pt
```

Its polymorph energy (0 for the lowest one) is 147 meV per atom. For the total magnetization, the calculation gives 0.6 μB/f.u. As for the energy of formation: 149 meV per atom.